# 1
VASP calculation (meta-GGA SCAN) on a crystal of Cr2CdCo relaxed with PBEsol. Values from VASP.

Structure (Quantum ESPRESSO input):
```
&SYSTEM
  ibrav = 0, nat = 4, ntyp = 3
/
ATOMIC_SPECIES
Cr 52.00 Cr.upf
Cd 112.41 Cd.upf
Co 58.93 Co.upf
ATOMIC_POSITIONS crystal
Cr 0.000 0.000 0.184
Cr 0.000 0.000 0.816
Cd 0.500 0.500 0.500
Co 0.500 0.500 0.000
CELL_PARAMETERS angstrom
2.768 0.000 0.000
0.000 3.565 0.000
0.000 0.000 5.392
```

Electronic total energy = -20.688 eV per atom
Symmetry = Pmmm

***

# 2
VASP calculation (meta-GGA SCAN) on a crystal of Cr2CdCo relaxed with PBEsol. Values from VASP.

Structure (Quantum ESPRESSO input):
```
&SYSTEM
  ibrav = 0, nat = 4, ntyp = 3
/
ATOMIC_SPECIES
Cr 52.00 Cr.upf
Cd 112.41 Cd.upf
Co 58.93 Co.upf
ATOMIC_POSITIONS crystal
Cr 0.000 0.000 0.000
Cr 0.500 0.500 0.191
Cd 0.000 0.000 0.508
Co 0.500 0.500 0.792
CELL_PARAMETERS angstrom
2.877 0.000 0.000
0.000 2.877 0.000
0.000 0.000 6.347
```

Electronic total energy = -20.850 eV per atom
Symmetry = P4mm

***

# 3
VASP calculation (meta-GGA SCAN) on a crystal of Cr2CdCo relaxed with PBEsol. Values from VASP.

Structure (Quantum ESPRESSO input):
```
&SYSTEM
  ibrav = 0, nat = 4, ntyp = 3
/
ATOMIC_SPECIES
Cr 52.00 Cr.upf
Cd 112.41 Cd.upf
Co 58.93 Co.upf
ATOMIC_POSITIONS crystal
Cr 0.000 0.000 0.000
Cr 0.250 0.250 0.250
Cd 0.750 0.750 0.750
Co 0.500 0.500 0.500
CELL_PARAMETERS angstrom
0.000 2.990 2.990
2.990 0.000 2.990
2.990 2.990 0.000
```

Electronic total energy = -20.829 eV per atom
Symmetry = F-43m

***

# 4
VASP calculation (meta-GGA SCAN) on a crystal of CrCdCoHg2 relaxed with PBEsol. Values from VASP.

Structure (Quantum ESPRESSO input):
```
&SYSTEM
  ibrav = 0, nat = 5, ntyp = 4
/
ATOMIC_SPECIES
Cr 52.00 Cr.upf
Cd 112.41 Cd.upf
Co 58.93 Co.upf
Hg 200.59 Hg.upf
ATOMIC_POSITIONS crystal
Cr 0.000 0.000 0.000
Cd 0.000 0.000 0.500
Co 0.500 0.500 0.000
Hg 0.000 0.500 0.500
Hg 0.500 0.000 0.500
CELL_PARAMETERS angstrom
5.147 0.000 0.000
0.000 5.147 0.000
0.000 0.000 5.096
```

Electronic total energy = -39.256 eV per atom
Symmetry = P4/mmm

***

# 5
VASP calculation (meta-GGA SCAN) on a crystal of Cr2CdInCo relaxed with PBEsol. Values from VASP.

Structure (Quantum ESPRESSO input):
```
&SYSTEM
  ibrav = 0, nat = 5, ntyp = 4
/
ATOMIC_SPECIES
Cr 52.00 Cr.upf
Cd 112.41 Cd.upf
In 114.82 In.upf
Co 58.93 Co.upf
ATOMIC_POSITIONS crystal
Cr 0.000 0.500 0.000
Cr 0.500 0.000 0.000
Cd 0.000 0.000 0.500
In 0.500 0.500 0.000
Co 0.500 0.500 0.500
CELL_PARAMETERS angstrom
4.953 0.000 0.000
0.000 4.953 0.000
0.000 0.000 4.642
```

Electronic total energy = -22.398 eV per atom
Symmetry = P4/mmm

***

# 6
VASP calculation (meta-GGA SCAN) on a crystal of CsCd3Co relaxed with PBEsol. Values from VASP.

Structure (Quantum ESPRESSO input):
```
&SYSTEM
  ibrav = 0, nat = 5, ntyp = 3
/
ATOMIC_SPECIES
Cs 132.91 Cs.upf
Cd 112.41 Cd.upf
Co 58.93 Co.upf
ATOMIC_POSITIONS crystal
Cs 0.000 0.000 0.000
Cd 0.000 0.500 0.500
Cd 0.500 0.000 0.500
Cd 0.500 0.500 0.000
Co 0.500 0.500 0.500
CELL_PARAMETERS angstrom
5.107 0.000 0.000
0.000 5.107 0.000
0.000 0.000 5.107
```

Electronic total energy = -28.990 eV per atom
Symmetry = Pm-3m

***

# 7
VASP calculation (meta-GGA SCAN) on a crystal of CdCo4Cu relaxed with PBEsol. Values from VASP.

Structure (Quantum ESPRESSO input):
```
&SYSTEM
  ibrav = 0, nat = 6, ntyp = 3
/
ATOMIC_SPECIES
Cd 112.41 Cd.upf
Co 58.93 Co.upf
Cu 63.55 Cu.upf
ATOMIC_POSITIONS crystal
Cd 0.000 0.000 0.000
Co 0.127 0.624 0.624
Co 0.624 0.127 0.624
Co 0.624 0.624 0.127
Co 0.624 0.624 0.624
Cu 0.250 0.250 0.250
CELL_PARAMETERS angstrom
0.000 3.333 3.333
3.333 0.000 3.333
3.333 3.333 0.000
```

Electronic total energy = -18.856 eV per atom
Symmetry = F-43m

***

# 8
VASP calculation (meta-GGA SCAN) on a crystal of CdCoCu relaxed with PBEsol. Values from VASP.

Structure (Quantum ESPRESSO input):
```
&SYSTEM
  ibrav = 0, nat = 3, ntyp = 3
/
ATOMIC_SPECIES
Cd 112.41 Cd.upf
Co 58.93 Co.upf
Cu 63.55 Cu.upf
ATOMIC_POSITIONS crystal
Cd 0.000 0.000 0.000
Co 0.680 0.680 0.000
Cu 0.316 0.316 0.000
CELL_PARAMETERS angstrom
-1.404 1.404 5.161
1.404 -1.404 5.161
1.404 1.404 -5.161
```

Electronic total energy = -20.782 eV per atom
Symmetry = I4mm

***

# 9
VASP calculation (meta-GGA SCAN) on a crystal of CdCoCuMo2 relaxed with PBEsol. Values from VASP.

Structure (Quantum ESPRESSO input):
```
&SYSTEM
  ibrav = 0, nat = 5, ntyp = 4
/
ATOMIC_SPECIES
Cd 112.41 Cd.upf
Co 58.93 Co.upf
Cu 63.55 Cu.upf
Mo 95.94 Mo.upf
ATOMIC_POSITIONS crystal
Cd 0.000 0.000 0.000
Co 0.000 0.000 0.500
Cu 0.500 0.500 0.500
Mo 0.000 0.500 0.000
Mo 0.500 0.000 0.000
CELL_PARAMETERS angstrom
4.823 0.000 0.000
0.000 4.823 0.000
0.000 0.000 4.455
```

Electronic total energy = -23.891 eV per atom
Symmetry = P4/mmm

***

# 10
VASP calculation (meta-GGA SCAN) on a crystal of Cd2CoCuP relaxed with PBEsol. Values from VASP.

Structure (Quantum ESPRESSO input):
```
&SYSTEM
  ibrav = 0, nat = 5, ntyp = 4
/
ATOMIC_SPECIES
Cd 112.41 Cd.upf
Co 58.93 Co.upf
Cu 63.55 Cu.upf
P 30.97 P.upf
ATOMIC_POSITIONS crystal
Cd 0.000 0.500 0.000
Cd 0.500 0.000 0.000
Co 0.000 0.000 0.500
Cu 0.500 0.500 0.000
P 0.500 0.500 0.500
CELL_PARAMETERS angstrom
4.865 0.000 0.000
0.000 4.865 0.000
0.000 0.000 4.159
```

Electronic total energy = -20.034 eV per atom
Symmetry = P4/mmm

***

# 11
VASP calculation (meta-GGA SCAN) on a crystal of CdCoCu2W relaxed with PBEsol. Values from VASP.

Structure (Quantum ESPRESSO input):
```
&SYSTEM
  ibrav = 0, nat = 5, ntyp = 4
/
ATOMIC_SPECIES
Cd 112.41 Cd.upf
Co 58.93 Co.upf
Cu 63.55 Cu.upf
W 183.84 W.upf
ATOMIC_POSITIONS crystal
Cd 0.000 0.000 0.000
Co 0.000 0.000 0.500
Cu 0.000 0.500 0.000
Cu 0.500 0.000 0.000
W 0.500 0.500 0.500
CELL_PARAMETERS angstrom
4.417 0.000 0.000
0.000 4.417 0.000
0.000 0.000 4.537
```

Electronic total energy = -27.495 eV per atom
Symmetry = P4/mmm

***

# 12
VASP calculation (meta-GGA SCAN) on a crystal of Dy4CdCo relaxed with PBEsol. Values from VASP.

Structure (Quantum ESPRESSO input):
```
&SYSTEM
  ibrav = 0, nat = 24, ntyp = 3
/
ATOMIC_SPECIES
Dy 162.50 Dy.upf
Cd 112.41 Cd.upf
Co 58.93 Co.upf
ATOMIC_POSITIONS crystal
Dy 0.040 0.653 0.653
Dy 0.061 0.061 0.439
Dy 0.061 0.439 0.061
Dy 0.061 0.439 0.439
Dy 0.189 0.189 0.811
Dy 0.189 0.811 0.189
Dy 0.189 0.811 0.811
Dy 0.439 0.061 0.061
Dy 0.439 0.061 0.439
Dy 0.439 0.439 0.061
Dy 0.653 0.040 0.653
Dy 0.653 0.653 0.040
Dy 0.653 0.653 0.653
Dy 0.811 0.189 0.189
Dy 0.811 0.189 0.811
Dy 0.811 0.811 0.189
Cd 0.420 0.420 0.420
Cd 0.420 0.420 0.741
Cd 0.420 0.741 0.420
Cd 0.741 0.420 0.420
Co 0.423 0.859 0.859
Co 0.859 0.423 0.859
Co 0.859 0.859 0.423
Co 0.859 0.859 0.859
CELL_PARAMETERS angstrom
0.000 6.574 6.574
6.574 0.000 6.574
6.574 6.574 0.000
```

Electronic total energy = -40.079 eV per atom
Symmetry = F-43m

***

# 13
VASP calculation (meta-GGA SCAN) on a crystal of CdCoF2 relaxed with PBEsol. Values from VASP.

Structure (Quantum ESPRESSO input):
```
&SYSTEM
  ibrav = 0, nat = 4, ntyp = 3
/
ATOMIC_SPECIES
Cd 112.41 Cd.upf
Co 58.93 Co.upf
F 19.00 F.upf
ATOMIC_POSITIONS crystal
Cd 0.000 0.000 0.000
Co 0.500 0.500 0.500
F 0.426 0.426 0.426
F 0.574 0.574 0.574
CELL_PARAMETERS angstrom
1.420 0.820 7.904
-1.420 0.820 7.904
0.000 -1.640 7.904
```

Symmetry = R-3m
Formation energy (no corrections) = -1293 meV/atom

***

# 14
VASP calculation (meta-GGA SCAN) on a crystal of Cd2Co2F relaxed with PBEsol. Values from VASP.

Structure (Quantum ESPRESSO input):
```
&SYSTEM
  ibrav = 0, nat = 5, ntyp = 3
/
ATOMIC_SPECIES
Cd 112.41 Cd.upf
Co 58.93 Co.upf
F 19.00 F.upf
ATOMIC_POSITIONS crystal
Cd 0.102 0.102 0.000
Cd 0.898 0.898 0.000
Co 0.250 0.750 0.500
Co 0.750 0.250 0.500
F 0.500 0.500 0.000
CELL_PARAMETERS angstrom
-1.603 1.603 7.413
1.603 -1.603 7.413
1.603 1.603 -7.413
```

Symmetry = I4/mmm
Formation energy (no corrections) = -246 meV/atom